## Cu2SnIr (PBE-GGA)

Data for a geometry-optimized Cu2SnIr structure.

a b c (Å): 6.209 6.209 6.209
angles (deg): 90.00 90.00 90.00
Space group F-43m (No. 216)
Symmetry-distinct sites (fractional):
Cu (0.000, 0.000, 0.000) [4 per cell]
Cu (0.250, 0.250, 0.250) [4 per cell]
Sn (0.000, 0.000, 0.500) [4 per cell]
Ir (0.250, 0.250, 0.750) [4 per cell]

The total DFT energy (no corrections) is -20.3 eV per formula unit.


## BaLuSi (PBE-GGA)

Data for a geometry-optimized BaLuSi structure.

a b c (Å): 7.411 7.411 7.411
angles (deg): 90.00 90.00 90.00
Space group F-43m (No. 216)
Symmetry-distinct sites (fractional):
Ba (0.000, 0.000, 0.000) [4 per cell]
Lu (0.250, 0.250, 0.750) [4 per cell]
Si (0.250, 0.250, 0.250) [4 per cell]

The total DFT energy (no corrections) is -9.8 eV per formula unit.